Computed, not measured: an optimized crystal structure of Cd2TeOs at the GGA-PBE level of DFT.

a = 3.1661 Å, b = 3.1661 Å, c = 8.8784 Å
α = 90.00°, β = 90.00°, γ = 90.00°
Closest atoms and distances in Å follow each position.
Sites, in units of the cell vectors:
Cd1 0.0000 0.0000 0.0000  8 Cd 3.17-3.20
Cd2 0.5000 0.5000 0.2580  4 Os 3.00, 8 Cd 3.17-3.20
Te1 0.5000 0.5000 0.6494  4 Os 2.68
Os1 0.0000 0.0000 0.4826  4 Te 2.68, 4 Cd 3.00

**D(E_F)**: 0.71 states/eV/f.u.
**Raw formation energy**: 0.302 eV per atom
**Calculated density**: 10.12 g/cm3

---

Computed, not measured: an optimized crystal structure of La2Al4Cu3Au at the GGA-PBE level of DFT.

a = 4.3431 Å, b = 4.3431 Å, c = 10.3156 Å
α = 90.00°, β = 90.00°, γ = 90.00°
Closest atoms and distances in Å follow each position.
Sites, in units of the cell vectors:
La1 0.0000 0.5000 0.2495  8 Al 3.30-3.37, 6 Cu 3.32-3.38, 2 Au 3.38
La2 0.5000 0.0000 0.7505  8 Al 3.30-3.37, 6 Cu 3.32-3.38, 2 Au 3.38
Al1 0.0000 0.0000 0.0000  4 Cu 2.53
Al2 0.0000 0.5000 0.6345  3 Cu 2.47-2.58, 2 Au 2.58
Al3 0.5000 0.0000 0.3655  3 Cu 2.47-2.58, 2 Au 2.58
Al4 0.5000 0.5000 0.0000  4 Cu 2.53
Cu1 0.0000 0.5000 0.8740  5 Al 2.47-2.53
Cu2 0.5000 0.0000 0.1260  5 Al 2.47-2.53
Cu3 0.5000 0.5000 0.5000  4 Al 2.58
Au1 0.0000 0.0000 0.5000  4 Al 2.58

**Formation energy from the elements**: -0.485 eV per atom
**D(E_F)**: 5.88 states/eV/f.u.
**Calculated density**: 6.60 g/cm3

---

Computed, not measured: an optimized crystal structure of Tb6Sm2Dy3 at the GGA-PBE level of DFT.

a = 16.9850 Å, b = 16.9850 Å, c = 16.9850 Å
α = 163.97°, β = 163.97°, γ = 22.74°
Closest atoms and distances in Å follow each position.
Sites, in units of the cell vectors:
Tb1 0.1216 0.6216 0.5000  6 Tb 3.35-3.45, 2 Sm 3.46, 2 Dy 3.53
Tb2 0.1968 0.1968 0.0000  5 Dy 3.35-3.43, 4 Tb 3.45
Tb3 0.3784 0.8784 0.5000  6 Tb 3.35-3.45, 2 Sm 3.46, 2 Dy 3.53
Tb4 0.6216 0.1216 0.5000  6 Tb 3.35-3.45, 2 Sm 3.46, 2 Dy 3.53
Tb5 0.8032 0.8032 0.0000  5 Dy 3.35-3.43, 4 Tb 3.45
Tb6 0.8784 0.3784 0.5000  6 Tb 3.35-3.45, 2 Sm 3.46, 2 Dy 3.53
Sm1 0.0458 0.0458 0.0000  1 Sm 3.05
Sm2 0.9542 0.9542 0.0000  1 Sm 3.05
Dy1 0.2997 0.2997 0.0000  9 Tb 3.35-3.53
Dy2 0.5000 0.5000 0.0000  8 Sm 3.68
Dy3 0.7003 0.7003 0.0000  9 Tb 3.35-3.53

**Formation energy from the elements**: 0.276 eV per atom
**D(E_F)**: 15.63 states/eV/f.u.
**Calculated density**: 7.75 g/cm3

---

Computed, not measured: an optimized crystal structure of Dy2Sc5Ni2 at the GGA-PBE level of DFT.

a = 10.1444 Å, b = 10.1444 Å, c = 6.5201 Å
α = 90.00°, β = 90.00°, γ = 37.64°
Closest atoms and distances in Å follow each position.
Sites, in units of the cell vectors:
Dy1 0.2291 0.2291 0.0000  4 Dy 3.36-3.37, 6 Sc 3.36-3.53
Dy2 0.2709 0.2709 0.5000  4 Dy 3.36-3.37, 6 Sc 3.36-3.53
Dy3 0.7291 0.7291 0.5000  4 Dy 3.36-3.37, 6 Sc 3.36-3.53
Dy4 0.7709 0.7709 0.0000  4 Dy 3.36-3.37, 6 Sc 3.36-3.53
Sc1 0.0000 0.0000 0.0000  4 Ni 2.57-2.58
Sc2 0.0675 0.7184 0.6724  3 Ni 2.76-2.86
Sc3 0.2184 0.5675 0.1724  3 Ni 2.76-2.86
Sc4 0.2816 0.9325 0.6724  3 Ni 2.76-2.86
Sc5 0.4325 0.7816 0.1724  3 Ni 2.76-2.86
Sc6 0.5000 0.5000 0.5000  4 Ni 2.57-2.58
Sc7 0.5675 0.2184 0.8276  3 Ni 2.76-2.86
Sc8 0.7184 0.0675 0.3276  3 Ni 2.76-2.86
Sc9 0.7816 0.4325 0.8276  3 Ni 2.76-2.86
Sc10 0.9325 0.2816 0.3276  3 Ni 2.76-2.86
Ni1 0.1268 0.8732 0.3735  1 Ni 2.34, 2 Sc 2.57-2.58
Ni2 0.3732 0.6268 0.8735  1 Ni 2.34, 2 Sc 2.57-2.58
Ni3 0.6268 0.3732 0.1265  1 Ni 2.34, 2 Sc 2.57-2.58
Ni4 0.8732 0.1268 0.6265  1 Ni 2.34, 2 Sc 2.57-2.58

**Formation energy from the elements**: -0.170 eV per atom
**D(E_F)**: 13.77 states/eV/f.u.
**Calculated density**: 5.41 g/cm3

---

What is the formula in the first record?
Cd2TeOs